1.
Compound: Tb6PmEr3
Source: Alexandria via LeMat-Bulk
Functional: PBE-GGA
Structure: relaxed

Summary:
V in Å³ per cell: 645.4
M_tot in μB per atom: 0.00
ΔH_f (0 K) in eV/atom: 0.1498
E above lowest polymorph in eV/atom: 0.0248
N(E_F) in states/eV/cell: 27.919

Cell lengths 6.183, 10.965, 10.965 Å; angles 119.75, 90.00, 90.00 degrees
Atoms (fractional coordinates):
Tb (0.642, 0.282, 0.718)
Tb (0.864, 0.956, 0.537)
Er (0.458, 0.938, 0.719)
Er (0.458, 0.281, 0.062)
Tb (0.035, 0.380, 0.290)
Tb (0.913, 0.046, 0.954)
Tb (0.364, 0.044, 0.463)
Tb (0.142, 0.718, 0.282)
Er (0.573, 0.611, 0.389)
Er (0.958, 0.062, 0.281)
Pm (0.643, 0.795, 0.205)
Tb (0.535, 0.620, 0.710)
Tb (0.535, 0.290, 0.380)
Tb (0.864, 0.463, 0.044)
Er (0.073, 0.389, 0.611)
Er (0.958, 0.719, 0.938)
Tb (0.413, 0.954, 0.046)
Tb (0.364, 0.537, 0.956)
Tb (0.035, 0.710, 0.620)
Pm (0.143, 0.205, 0.795)

---

2.
Compound: Tb4Pm2Er5
Source: Alexandria via LeMat-Bulk
Functional: PBE-GGA
Structure: relaxed

Summary:
V in Å³ per cell: 352.3
M_tot in μB per atom: 0.00
ΔH_f (0 K) in eV/atom: 0.0606
E above lowest polymorph in eV/atom: 0.0000
N(E_F) in states/eV/cell: 16.051

Cell lengths 3.661, 9.909, 12.650 Å; angles 124.00, 81.61, 111.71 degrees
Atoms (fractional coordinates):
Er (0.422, 0.173, 0.502)
Pm (0.110, 0.725, 0.229)
Er (0.926, 0.044, 0.237)
Pm (0.890, 0.275, 0.771)
Tb (0.752, 0.425, 0.344)
Er (0.578, 0.827, 0.498)
Tb (0.322, 0.350, 0.057)
Tb (0.248, 0.575, 0.656)
Er (0.500, 0.000, 0.000)
Er (0.074, 0.956, 0.763)
Tb (0.678, 0.650, 0.943)